Computed, not measured: crystalline Sr3LiRh at its relaxed geometry at the PBE level of DFT.

abc: 13.464 9.679 9.679
angles: 89.34 125.29 54.71
Fractional coordinates of all 20 atoms:
1 Sr 0.598 0.352 0.244
2 Rh 0.750 0.123 0.623
3 Sr 0.646 0.543 0.600
4 Sr 0.854 0.100 0.043
5 Rh 0.250 0.490 0.990
6 Rh 0.750 0.510 0.010
7 Li 0.614 0.703 0.134
8 Sr 0.402 0.648 0.756
9 Sr 0.098 0.256 0.148
10 Sr 0.511 0.054 0.280
11 Li 0.386 0.297 0.866
12 Rh 0.250 0.877 0.377
13 Li 0.114 0.366 0.797
14 Sr 0.902 0.744 0.852
15 Sr 0.354 0.457 0.400
16 Li 0.886 0.634 0.203
17 Sr 0.989 0.780 0.554
18 Sr 0.011 0.220 0.446
19 Sr 0.146 0.900 0.957
20 Sr 0.489 0.946 0.720

**Total magnetic moment**: 0.00 μB/f.u.
**VASP energy**: -59.27 eV/cell
**Energy relative to the elements**: -0.10 eV per atom
**Space group**: No. 15
**Offset from the most stable computed form**: 46 meV per atom



Computed, not measured: crystalline LaTa4 at its relaxed geometry at the PBE level of DFT.

abc: 4.860 4.860 4.860
angles: 90.00 90.00 90.00
Fractional coordinates of all 5 atoms:
1 Ta 0.000 0.500 0.500
2 La 0.500 0.500 0.500
3 Ta 0.500 0.500 0.000
4 Ta 0.500 0.000 0.500
5 Ta 0.000 0.000 0.000

**Total magnetic moment**: 0.01 μB/f.u.
**VASP energy**: -40.65 eV/cell
**Energy relative to the elements**: 2.34 eV per atom
**Space group**: No. 221
**Offset from the most stable computed form**: 1881 meV per atom



Computed, not measured: crystalline KThI4 at its relaxed geometry at the PBE level of DFT.

abc: 11.298 8.195 9.988
angles: 114.22 124.44 90.00
Fractional coordinates of all 12 atoms:
1 I 0.285 0.252 0.003
2 K 0.000 0.000 0.500
3 I 0.715 0.748 0.997
4 I 0.719 0.252 0.003
5 Th 0.500 0.500 0.000
6 K 0.500 0.000 0.500
7 I 0.284 0.290 0.568
8 I 0.716 0.222 0.432
9 I 0.284 0.778 0.568
10 I 0.281 0.748 0.997
11 Th 0.500 0.000 0.000
12 I 0.716 0.710 0.432

**Total magnetic moment**: 0.00 μB/f.u.
**VASP energy**: -44.24 eV/cell
**Space group**: No. 74